The following is a DFT calculation (GGA-PBE) of LaCd3In after structural relaxation.

Its formation energy is -293 meV/atom. As for the crystal system: orthorhombic. The energy above the most stable polymorph in this dataset is 0.000 eV per atom.

It has space group Cmcm (No. 63), with a = 6.576 Å, b = 12.208 Å, c = 6.582 Å, α = 90.00°, β = 90.00° and γ = 90.00°. Symmetry generates all atoms from La at (0.000, 0.246, 0.250), Cd at (0.000, 0.134, 0.750), Cd at (0.248, 0.500, 0.000) and In at (0.000, 0.357, 0.750).

The following is a DFT calculation (GGA-PBE) of La3Cd7In2 after structural relaxation.

Its formation energy is -285 meV/atom. As for the crystal system: trigonal.

It has space group R-3m (No. 166, hexagonal axes), with a = 6.1185 Å, b = 6.1185 Å, c = 29.2289 Å, α = 90.00°, β = 90.00° and γ = 120.00°. Symmetry generates all atoms from La at (0.0000, 0.0000, 0.0000), La at (0.0000, 0.0000, 0.1434), Cd at (0.0000, 0.0000, 0.5000), Cd at (0.0072, 0.5036, 0.9150) and In at (0.0000, 0.0000, 0.3352).

The following is a DFT calculation (GGA-PBE) of La2Cd2In3 after structural relaxation.

Its formation energy is -422 meV/atom. As for the crystal system: orthorhombic.

It has space group Cmcm (No. 63), with a = 4.812 Å, b = 21.007 Å, c = 7.794 Å, α = 90.00°, β = 90.00° and γ = 90.00°. Symmetry generates all atoms from La at (0.000, 0.049, 0.250), La at (0.000, 0.158, 0.750), Cd at (0.000, 0.313, 0.558), In at (0.000, 0.223, 0.250) and In at (0.000, 0.439, 0.069).

The following is a DFT calculation (GGA-PBE) of La6CdIn3 after structural relaxation.

Its formation energy is -377 meV/atom. As for the crystal system: monoclinic. The energy above the most stable polymorph in this dataset is 0.000 eV per atom.

It has space group P2_1/m (No. 11), with a = 9.806 Å, b = 5.528 Å, c = 12.228 Å, α = 90.00°, β = 107.53° and γ = 90.00°. Symmetry generates all atoms from La at (0.040, 0.250, 0.416), La at (0.160, 0.750, 0.177), La at (0.242, 0.250, 0.003), La at (0.344, 0.750, 0.800), La at (0.374, 0.250, 0.354), La at (0.416, 0.250, 0.621), Cd at (0.463, 0.750, 0.091), In at (0.039, 0.750, 0.877), In at (0.128, 0.250, 0.718) and In at (0.268, 0.750, 0.475).

The following is a DFT calculation (GGA-PBE) of LaCdIn2 after structural relaxation.

Its formation energy is -416 meV/atom. As for the crystal system: tetragonal.

It has space group P4/mmm (No. 123), with a = 4.788 Å, b = 4.788 Å, c = 4.726 Å, α = 90.00°, β = 90.00° and γ = 90.00°. Symmetry generates all atoms from La at (0.000, 0.000, 0.000), Cd at (0.500, 0.500, 0.000) and In at (0.000, 0.500, 0.500).

The following is a DFT calculation (GGA-PBE) of LaCdIn2 after structural relaxation.

Its formation energy is -286 meV/atom. As for the crystal system: cubic.

It has space group F-43m (No. 216), with a = 7.574 Å, b = 7.574 Å, c = 7.574 Å, α = 90.00°, β = 90.00° and γ = 90.00°. Symmetry generates all atoms from La at (0.000, 0.000, 0.000), Cd at (0.250, 0.250, 0.250), In at (0.000, 0.000, 0.500) and In at (0.250, 0.250, 0.750).

Number 1: uncorrected energy -47.5 eV for the cell shown. Number 2: uncorrected energy -90.3 eV for the cell shown. Number 3: uncorrected energy -91.4 eV for the cell shown. Number 4: uncorrected energy -84.9 eV for the cell shown. Number 5: uncorrected energy -13.0 eV for the cell shown. Number 6: uncorrected energy -49.9 eV for the cell shown.